(1)
## SrZrOs4 (GGA-PBE)

Data for a geometry-optimized SrZrOs4 structure.

a b c (Å): 5.3522 5.3522 5.3522
angles (deg): 60.00 60.00 60.00
Last column: nearest neighbours and their distance in Å.
Positions (direct):
Sr  0.0000  0.0000  0.0000  12 Os 3.14, 4 Zr 3.28
Zr  0.7500  0.7500  0.7500  12 Os 3.14, 4 Sr 3.28
Os  0.3755  0.3755  0.3755  6 Os 2.67-2.69
Os  0.3755  0.3755  0.8736  6 Os 2.67-2.69
Os  0.3755  0.8736  0.3755  6 Os 2.67-2.69
Os  0.8736  0.3755  0.3755  6 Os 2.67-2.69

Output
uncorrected energy = -0.666 Ry/atom
magnetization = 0.0 μB/f.u.
formation enthalpy at 0 K = 131 meV per atom

***

(2)
## SrZr3Os (GGA-PBE)

Data for a geometry-optimized SrZr3Os structure.

a b c (Å): 4.9232 4.9232 4.9232
angles (deg): 90.00 90.00 90.00
Last column: nearest neighbours and their distance in Å.
Positions (direct):
Sr  0.0000  0.0000  0.0000  6 Zr 2.46
Zr  0.0000  0.0000  0.5000  2 Sr 2.46
Zr  0.0000  0.5000  0.0000  2 Sr 2.46
Zr  0.5000  0.0000  0.0000  2 Sr 2.46
Os  0.5000  0.5000  0.5000  12 Zr 3.48

Output
uncorrected energy = -0.395 Ry/atom
distance to the lowest polymorph of the same formula = 202.9 kJ/mol of atoms
magnetization = 0.0 μB/f.u.
formation enthalpy at 0 K = 2341 meV per atom

***

(3)
## SrZr3Os (GGA-PBE)

Data for a geometry-optimized SrZr3Os structure.

a b c (Å): 5.1971 5.1971 5.1971
angles (deg): 90.00 90.00 90.00
Last column: nearest neighbours and their distance in Å.
Positions (direct):
Sr  0.0000  0.0000  0.0000  12 Zr 3.67
Zr  0.0000  0.5000  0.5000  2 Os 2.60
Zr  0.5000  0.0000  0.5000  2 Os 2.60
Zr  0.5000  0.5000  0.0000  2 Os 2.60
Os  0.5000  0.5000  0.5000  6 Zr 2.60

Output
uncorrected energy = -0.549 Ry/atom
distance to the lowest polymorph of the same formula = 0.0 kJ/mol of atoms
magnetization = 0.0 μB/f.u.
formation enthalpy at 0 K = 237 meV per atom

***

(4)
## Sr2ZrOs (GGA-PBE)

Data for a geometry-optimized Sr2ZrOs structure.

a b c (Å): 5.2079 5.2079 5.2079
angles (deg): 60.00 60.00 60.00
Last column: nearest neighbours and their distance in Å.
Positions (direct):
Sr  0.0000  0.0000  0.0000  4 Zr 3.19, 4 Sr 3.19
Sr  0.2500  0.2500  0.2500  4 Os 3.19, 4 Sr 3.19
Zr  0.7500  0.7500  0.7500  4 Os 3.19, 4 Sr 3.19
Os  0.5000  0.5000  0.5000  4 Zr 3.19, 4 Sr 3.19

Output
uncorrected energy = -0.376 Ry/atom
distance to the lowest polymorph of the same formula = 51.2 kJ/mol of atoms
magnetization = 0.0 μB/f.u.
formation enthalpy at 0 K = 668 meV per atom

***

(5)
## SrZr2Os (GGA-PBE)

Data for a geometry-optimized SrZr2Os structure.

a b c (Å): 4.3321 4.3321 7.3730
angles (deg): 107.11 107.11 59.88
Last column: nearest neighbours and their distance in Å.
Positions (direct):
Sr  0.0000  0.0000  0.0000  6 Zr 3.43-3.61, 1 Os 3.62
Zr  0.2078  0.2078  0.6255  3 Os 2.70-2.71
Zr  0.4457  0.4457  0.3392  3 Os 2.68
Os  0.8250  0.8250  0.4775  6 Zr 2.68-2.71

Output
uncorrected energy = -0.547 Ry/atom
distance to the lowest polymorph of the same formula = 0.0 kJ/mol of atoms
magnetization = 0.0 μB/f.u.
formation enthalpy at 0 K = 64 meV per atom

***

(6)
## Sr3ZrOs (GGA-PBE)

Data for a geometry-optimized Sr3ZrOs structure.

a b c (Å): 5.7946 5.7946 5.7946
angles (deg): 90.00 90.00 90.00
Last column: nearest neighbours and their distance in Å.
Positions (direct):
Sr  0.0000  0.0000  0.5000  2 Zr 2.90
Sr  0.0000  0.5000  0.0000  2 Zr 2.90
Sr  0.5000  0.0000  0.0000  2 Zr 2.90
Zr  0.0000  0.0000  0.0000  6 Sr 2.90
Os  0.5000  0.5000  0.5000  12 Sr 4.10

Output
uncorrected energy = -0.225 Ry/atom
magnetization = 4.1 μB/f.u.
formation enthalpy at 0 K = 1903 meV per atom

***

(7)
## Sr2ZrOs (GGA-PBE)

Data for a geometry-optimized Sr2ZrOs structure.

a b c (Å): 5.3152 5.3152 5.3152
angles (deg): 60.00 60.00 60.00
Last column: nearest neighbours and their distance in Å.
Positions (direct):
Sr  0.2500  0.2500  0.2500  4 Os 3.25, 4 Zr 3.25
Sr  0.7500  0.7500  0.7500  4 Zr 3.25, 4 Os 3.25
Zr  0.0000  0.0000  0.0000  8 Sr 3.25
Os  0.5000  0.5000  0.5000  8 Sr 3.25

Output
uncorrected energy = -0.345 Ry/atom
distance to the lowest polymorph of the same formula = 92.5 kJ/mol of atoms
magnetization = 1.5 μB/f.u.
formation enthalpy at 0 K = 1096 meV per atom

***

(8)
## SrZr2Os (GGA-PBE)

Data for a geometry-optimized SrZr2Os structure.

a b c (Å): 5.8741 5.8741 3.0595
angles (deg): 101.66 101.66 116.58
Last column: nearest neighbours and their distance in Å.
Positions (direct):
Sr  0.0000  0.0000  0.0000  4 Zr 3.02, 2 Sr 3.06, 2 Os 3.09
Zr  0.0000  0.5000  0.5000  2 Os 3.02, 2 Sr 3.02, 4 Zr 3.06-3.09
Zr  0.5000  0.0000  0.5000  2 Os 3.02, 2 Sr 3.02, 4 Zr 3.06-3.09
Os  0.5000  0.5000  0.0000  4 Zr 3.02, 2 Os 3.06, 2 Sr 3.09

Output
uncorrected energy = -0.505 Ry/atom
distance to the lowest polymorph of the same formula = 54.1 kJ/mol of atoms
magnetization = 0.0 μB/f.u.
formation enthalpy at 0 K = 624 meV per atom

***

(9)
## Sr2ZrOs (GGA-PBE)

Data for a geometry-optimized Sr2ZrOs structure.

a b c (Å): 3.2425 5.2112 6.0438
angles (deg): 90.00 90.00 90.00
Last column: nearest neighbours and their distance in Å.
Positions (direct):
Sr  0.0000  0.0000  0.2361  2 Sr 2.85-3.19
Sr  0.0000  0.0000  0.7639  2 Sr 2.85-3.19
Zr  0.5000  0.5000  0.5000  2 Os 3.02, 2 Zr 3.24
Os  0.5000  0.5000  0.0000  2 Zr 3.02, 2 Os 3.24, 8 Sr 3.38

Output
uncorrected energy = -0.361 Ry/atom
distance to the lowest polymorph of the same formula = 71.4 kJ/mol of atoms
magnetization = 0.4 μB/f.u.
formation enthalpy at 0 K = 877 meV per atom

***

(10)
## Sr2ZrOs (GGA-PBE)

Data for a geometry-optimized Sr2ZrOs structure.

a b c (Å): 6.5477 6.5477 6.5477
angles (deg): 146.93 126.91 63.99
Last column: nearest neighbours and their distance in Å.
Positions (direct):
Sr  0.0000  0.0000  0.0000  4 Os 3.49, 2 Zr 3.60, 6 Sr 3.63-3.88
Sr  0.6938  0.1938  0.5000  2 Os 3.17
Zr  0.3112  0.8112  0.5000  2 Os 2.51
Os  0.4629  0.4629  0.0000  2 Zr 2.51

Output
uncorrected energy = -0.404 Ry/atom
distance to the lowest polymorph of the same formula = 14.2 kJ/mol of atoms
magnetization = 0.0 μB/f.u.
formation enthalpy at 0 K = 284 meV per atom

***

(11)
## SrZr2Os (GGA-PBE)

Data for a geometry-optimized SrZr2Os structure.

a b c (Å): 6.1860 6.1860 6.1860
angles (deg): 148.37 126.71 63.31
Last column: nearest neighbours and their distance in Å.
Positions (direct):
Sr  0.0000  0.0000  0.0000  4 Os 3.25, 2 Sr 3.37, 8 Zr 3.46-3.61
Zr  0.3031  0.8031  0.5000  2 Os 2.67
Zr  0.6969  0.1969  0.5000  2 Os 2.67
Os  0.5000  0.5000  0.0000  4 Zr 2.67

Output
uncorrected energy = -0.539 Ry/atom
distance to the lowest polymorph of the same formula = 10.7 kJ/mol of atoms
magnetization = 0.0 μB/f.u.
formation enthalpy at 0 K = 175 meV per atom

***

(12)
## Sr2ZrOs (GGA-PBE)

Data for a geometry-optimized Sr2ZrOs structure.

a b c (Å): 6.1501 6.1501 3.1024
angles (deg): 90.00 90.00 121.89
Last column: nearest neighbours and their distance in Å.
Positions (direct):
Sr  0.0000  0.5000  0.0000  4 Sr 2.99-3.10
Sr  0.5000  0.0000  0.0000  4 Sr 2.99-3.10
Zr  0.0000  0.0000  0.5000  2 Os 2.99, 2 Zr 3.10
Os  0.5000  0.5000  0.5000  2 Zr 2.99, 2 Os 3.10

Output
uncorrected energy = -0.360 Ry/atom
distance to the lowest polymorph of the same formula = 72.0 kJ/mol of atoms
magnetization = 0.0 μB/f.u.
formation enthalpy at 0 K = 884 meV per atom

***

(13)
## Sr2ZrOs (GGA-PBE)

Data for a geometry-optimized Sr2ZrOs structure.

a b c (Å): 9.4511 9.4511 9.4511
angles (deg): 158.93 154.22 33.53
Last column: nearest neighbours and their distance in Å.
Positions (direct):
Sr  0.1518  0.1518  0.0000  2 Os 3.25, 2 Sr 3.46, 2 Zr 3.46
Sr  0.8482  0.8482  0.0000  2 Os 3.25, 2 Sr 3.46, 2 Zr 3.46
Zr  0.5000  0.0000  0.5000  4 Os 2.73
Os  0.0000  0.5000  0.5000  4 Zr 2.73

Output
uncorrected energy = -0.408 Ry/atom
distance to the lowest polymorph of the same formula = 9.1 kJ/mol of atoms
magnetization = 0.0 μB/f.u.
formation enthalpy at 0 K = 231 meV per atom

***

(14)
## Sr4ZrOs (GGA-PBE)

Data for a geometry-optimized Sr4ZrOs structure.

a b c (Å): 6.5406 6.5406 6.5406
angles (deg): 60.00 60.00 60.00
Last column: nearest neighbours and their distance in Å.
Positions (direct):
Sr  0.3757  0.3757  0.3757  6 Sr 3.25-3.29
Sr  0.3757  0.3757  0.8730  6 Sr 3.25-3.29
Sr  0.3757  0.8730  0.3757  6 Sr 3.25-3.29
Sr  0.8730  0.3757  0.3757  6 Sr 3.25-3.29
Zr  0.0000  0.0000  0.0000  12 Sr 3.84, 4 Os 4.01
Os  0.7500  0.7500  0.7500  12 Sr 3.83, 4 Zr 4.01

Output
uncorrected energy = -0.218 Ry/atom
magnetization = 2.9 μB/f.u.
formation enthalpy at 0 K = 1453 meV per atom